#one
This record from Alexandria describes an optimized crystal structure of CaUI6. The functional is PBE.

The value obtained for the total magnetization is 2.0 μB per formula unit.

The structure belongs to space group P-31c (No. 163); the cell edges are 7.6503, 7.6503 and 14.2049 Å and the angles 90.00°, 90.00° and 120.00°. The inequivalent atoms are Ca at (0.3333, 0.6667, 0.2500), U at (0.0000, 0.0000, 0.0000) and I at (0.0023, 0.3244, 0.8778).



#two
This record from Alexandria describes an optimized crystal structure of CaUI6. The functional is PBE.

The value obtained for the total magnetization is 2.0 μB per formula unit.

The structure belongs to space group C2/m (No. 12); the cell edges are 7.620, 14.335 and 7.627 Å and the angles 90.00°, 108.42° and 90.00°. The inequivalent atoms are Ca at (0.000, 0.000, 0.000), U at (0.000, 0.500, 0.500), I at (0.241, 0.351, 0.743) and I at (0.242, 0.500, 0.258).



Of them, the most stable is #two and the least stable is #one.



#one
This record from Alexandria describes an optimized crystal structure of CaVI2. The functional is PBE.

The value obtained for the total magnetization is 4.6 μB per formula unit.

The structure belongs to space group Fm-3m (No. 225); the cell edges are 7.677, 7.677 and 7.677 Å and the angles 90.00°, 90.00° and 90.00°. The inequivalent atoms are Ca at (0.000, 0.000, 0.000), V at (0.000, 0.000, 0.500) and I at (0.250, 0.250, 0.250).



#two
This record from Alexandria describes an optimized crystal structure of CaVI2. The functional is PBE.

The value obtained for the total magnetization is 4.9 μB per formula unit.

The structure belongs to space group I-42d (No. 122); the cell edges are 5.730, 5.730 and 17.366 Å and the angles 90.00°, 90.00° and 90.00°. The inequivalent atoms are Ca at (0.000, 0.000, 0.000), V at (0.000, 0.000, 0.500) and I at (0.219, 0.250, 0.625).



Of them, the most stable is #two and the least stable is #one.



#one
This record from Alexandria describes an optimized crystal structure of Ca3WI. The functional is PBE.

The value obtained for the total magnetization is 4.7 μB per formula unit.

The structure belongs to space group Pm-3m (No. 221); the cell edges are 5.773, 5.773 and 5.773 Å and the angles 90.00°, 90.00° and 90.00°. The inequivalent atoms are Ca at (0.000, 0.000, 0.500), W at (0.500, 0.500, 0.500) and I at (0.000, 0.000, 0.000).



#two
This record from Alexandria describes an optimized crystal structure of Ca3WI. The functional is PBE.

The value obtained for the total magnetization is 0.0 μB per formula unit.

The structure belongs to space group Pm-3m (No. 221); the cell edges are 5.587, 5.587 and 5.587 Å and the angles 90.00°, 90.00° and 90.00°. The inequivalent atoms are Ca at (0.000, 0.000, 0.500), W at (0.000, 0.000, 0.000) and I at (0.500, 0.500, 0.500).



Of them, the most stable is #two and the least stable is #one.



#one
This record from Alexandria describes an optimized crystal structure of Ca3YI. The functional is PBE.

The value obtained for the total magnetization is 3.8 μB per formula unit.

The structure belongs to space group Pm-3m (No. 221); the cell edges are 6.359, 6.359 and 6.359 Å and the angles 90.00°, 90.00° and 90.00°. The inequivalent atoms are Ca at (0.000, 0.000, 0.500), Y at (0.000, 0.000, 0.000) and I at (0.500, 0.500, 0.500).



#two
This record from Alexandria describes an optimized crystal structure of Ca3YI. The functional is PBE.

The value obtained for the total magnetization is 2.0 μB per formula unit.

The structure belongs to space group Pm-3m (No. 221); the cell edges are 5.944, 5.944 and 5.944 Å and the angles 90.00°, 90.00° and 90.00°. The inequivalent atoms are Ca at (0.000, 0.000, 0.500), Y at (0.500, 0.500, 0.500) and I at (0.000, 0.000, 0.000).



Of them, the most stable is #two and the least stable is #one.



#one
This record from Alexandria describes an optimized crystal structure of CaY2I. The functional is PBE.

The value obtained for the total magnetization is 0.0 μB per formula unit.

The structure belongs to space group I-42d (No. 122); the cell edges are 9.212, 9.212 and 6.582 Å and the angles 90.00°, 90.00° and 90.00°. The inequivalent atoms are Ca at (0.000, 0.000, 0.000), Y at (0.197, 0.750, 0.625) and I at (0.000, 0.000, 0.500).



#two
This record from Alexandria describes an optimized crystal structure of CaY2I. The functional is PBE.

The value obtained for the total magnetization is 0.0 μB per formula unit.

The structure belongs to space group Fm-3m (No. 225); the cell edges are 8.043, 8.043 and 8.043 Å and the angles 90.00°, 90.00° and 90.00°. The inequivalent atoms are Ca at (0.000, 0.000, 0.000), Y at (0.250, 0.250, 0.250) and I at (0.000, 0.000, 0.500).



Of them, the most stable is #one and the least stable is #two.



#one
This record from Alexandria describes an optimized crystal structure of Ca2YZrI. The functional is PBE.

The value obtained for the total magnetization is 2.3 μB per formula unit.

The structure belongs to space group P4/mmm (No. 123); the cell edges are 5.694, 5.694 and 5.781 Å and the angles 90.00°, 90.00° and 90.00°. The inequivalent atoms are Ca at (0.000, 0.500, 0.000), Y at (0.000, 0.000, 0.500), Zr at (0.500, 0.500, 0.500) and I at (0.000, 0.000, 0.000).



#two
This record from Alexandria describes an optimized crystal structure of Ca2YZrI. The functional is PBE.

The value obtained for the total magnetization is 0.9 μB per formula unit.

The structure belongs to space group P4/mmm (No. 123); the cell edges are 6.044, 6.044 and 5.511 Å and the angles 90.00°, 90.00° and 90.00°. The inequivalent atoms are Ca at (0.000, 0.500, 0.000), Y at (0.000, 0.000, 0.500), Zr at (0.000, 0.000, 0.000) and I at (0.500, 0.500, 0.500).



Of them, the most stable is #one and the least stable is #two.